(1)
DFT (PBE) results for crystalline AgPd4Pb2Au2 at its relaxed geometry.

## Properties
Calculated total energy = -4.064 eV per atom
Symmetry = No. 139
Calculated formation energy = 113 meV per atom

a b c (Å): 6.431 6.431 6.431
angles (deg): 89.53 120.27 120.27
Atoms (fractional coordinates):
Ag: 0.000 0.000 0.000
Pd: 0.000 0.715 0.285
Pd: 0.429 0.715 0.715
Pd: 0.000 0.285 0.715
Pd: 0.571 0.285 0.285
Pb: 0.500 0.750 0.250
Pb: 0.500 0.250 0.750
Au: 0.000 0.716 0.716
Au: 0.000 0.284 0.284

=====

(2)
DFT (PBE) results for crystalline FeOs2Se at its relaxed geometry.

## Properties
Calculated total energy = -7.896 eV per atom
Symmetry = No. 35
Formation energy without anion corrections = 0.71 eV per atom

a b c (Å): 2.730 2.730 9.593
angles (deg): 90.00 90.00 119.00
Atoms (fractional coordinates):
Fe: 0.500 0.500 0.759
Os: 0.000 0.000 0.986
Os: 0.500 0.500 0.218
Se: 0.000 0.000 0.538

=====

What did the second record say?
DFT (PBE) results for crystalline FeOs2Se at its relaxed geometry.

## Properties
Calculated total energy = -7.896 eV per atom
Symmetry = No. 35
Formation energy without anion corrections = 0.71 eV per atom

a b c (Å): 2.730 2.730 9.593
angles (deg): 90.00 90.00 119.00
Atoms (fractional coordinates):
Fe: 0.500 0.500 0.759
Os: 0.000 0.000 0.986
Os: 0.500 0.500 0.218
Se: 0.000 0.000 0.538

=====

Q: Which of these has the highest calculated total energy?
A: AgPd4Pb2Au2

=====

Q: Among the records above, which one has the lowest calculated total energy?
A: FeOs2Se